Entry 1:
First-principles (PBE) data for a relaxed structure of LaZnPb2, as listed in the Alexandria database.

Cell lengths 3.929, 3.929, 7.341 Å; angles 90.00, 90.00, 99.09 degrees
Atoms (fractional coordinates):
Pb 0.000 0.000 0.464
Pb 0.000 0.000 0.036
La 0.500 0.500 0.750
Zn 0.500 0.500 0.250

Mass density in g/cm3: 9.2
Crystal system: orthorhombic
ΔH_f (0 K) in kJ/mol of atoms: -18.2



Entry 2:
First-principles (PBE) data for a relaxed structure of KLi2CaPd, as listed in the Alexandria database.

Cell lengths 5.332, 5.332, 5.431 Å; angles 90.00, 90.00, 90.00 degrees
Atoms (fractional coordinates):
Ca 0.000 0.000 0.500
Pd 0.000 0.000 0.000
K 0.500 0.500 0.500
Li 0.500 0.000 0.000
Li 0.000 0.500 0.000

Mass density in g/cm3: 2.1
Crystal system: tetragonal
ΔH_f (0 K) in kJ/mol of atoms: -9.0



Entry 3:
First-principles (PBE) data for a relaxed structure of Ba3MgPb2O6, as listed in the Alexandria database.

Cell lengths 6.119, 6.119, 7.022 Å; angles 90.00, 90.00, 120.00 degrees
Atoms (fractional coordinates):
Ba 0.000 0.000 0.000
O 0.836 0.164 0.686
O 0.836 0.672 0.686
O 0.328 0.164 0.686
O 0.164 0.836 0.314
O 0.164 0.328 0.314
Pb 0.333 0.667 0.141
Ba 0.667 0.333 0.382
Ba 0.333 0.667 0.618
Pb 0.667 0.333 0.859
O 0.672 0.836 0.314
Mg 0.000 0.000 0.500

Formation energy from raw total energies in eV per atom: -2.041
Mass density in g/cm3: 6.9
Crystal system: trigonal



Entry 4:
First-principles (PBE) data for a relaxed structure of SrMo2W, as listed in the Alexandria database.

Cell lengths 5.692, 5.692, 5.692 Å; angles 148.17, 124.78, 65.16 degrees
Atoms (fractional coordinates):
Sr 0.750 0.250 0.500
Mo 0.028 0.028 0.000
Mo 0.472 0.472 0.000
W 0.250 0.750 0.500

Mass density in g/cm3: 9.7
Crystal system: orthorhombic
ΔH_f (0 K) in kJ/mol of atoms: 101.5